[1]
{"formula": "AcAsSeO2", "functional": "PBE", "state": "optimized geometry", "lattice": [[5.377, 0.000, 0.000], [0.000, 5.618, 0.000], [0.000, -2.809, 6.383]], "species": ["Ac", "Ac", "As", "As", "Se", "Se", "O", "O", "O", "O"], "frac_coords": [[0.250, 0.633, 0.265], [0.750, 0.367, 0.735], [0.250, 0.936, 0.872], [0.750, 0.064, 0.128], [0.750, 0.750, 0.500], [0.250, 0.250, 0.500], [0.500, 0.221, 0.000], [0.000, 0.779, 0.000], [0.500, 0.779, 0.000], [0.000, 0.221, 0.000]], "formation_energy_uncorrected_ev_per_atom": -1.906, "spacegroup": "Cmcm, No. 63"}


[2]
{"formula": "BaNiW", "functional": "PBE", "state": "optimized geometry", "lattice": [[-0.954, -10.955, -4.692], [4.058, 1.135, 0.353], [-1.698, -2.678, 2.798]], "species": ["Ni", "Ni", "Ba", "Ba", "W", "W"], "frac_coords": [[0.761, 0.152, 0.565], [0.656, 0.747, 0.968], [0.477, 0.960, 0.752], [0.091, 0.375, 0.348], [0.873, 0.894, 0.825], [0.762, 0.486, 0.231]], "ef_ev_per_atom": 0.42, "de_polymorph_ev_per_atom": 0.098, "spacegroup": "P1, No. 1"}


[3]
{"formula": "Nd4Sb2PSe", "functional": "PBE", "state": "optimized geometry", "lattice": [[4.355, 0.000, 0.000], [0.000, 7.572, -0.167], [0.000, 2.648, 7.069]], "species": ["Nd", "Nd", "Nd", "Nd", "Sb", "Sb", "P", "Se"], "frac_coords": [[0.000, 0.736, 0.747], [0.000, 0.264, 0.253], [0.500, 0.731, 0.263], [0.500, 0.269, 0.737], [0.000, 0.000, 0.000], [0.500, 0.000, 0.500], [0.000, 0.500, 0.500], [0.500, 0.500, 0.000]], "formation_energy_uncorrected_ev_per_atom": -1.450, "spacegroup": "P2/m, No. 10"}


[4]
{"formula": "NpPd2Pt3", "functional": "PBE", "state": "optimized geometry", "lattice": [[5.314, 0.028, 0.686], [-0.610, 5.279, 0.686], [-0.164, -0.185, 7.386]], "species": ["Np", "Np", "Pd", "Pd", "Pd", "Pd", "Pt", "Pt", "Pt", "Pt", "Pt", "Pt"], "frac_coords": [[0.917, 0.083, 0.250], [0.083, 0.917, 0.750], [0.127, 0.629, 0.121], [0.371, 0.873, 0.379], [0.873, 0.371, 0.879], [0.629, 0.127, 0.621], [0.830, 0.664, 0.508], [0.336, 0.170, 0.992], [0.170, 0.336, 0.492], [0.664, 0.830, 0.008], [0.582, 0.418, 0.250], [0.418, 0.582, 0.750]], "ef_ev_per_atom": -0.32, "spacegroup": "C2/c, No. 15"}